# LaPrHoLu (PBE, optimized geometry)
data_LaPrHoLu
_chemical_formula_sum 'La1 Pr1 Ho1 Lu1'
_symmetry_space_group_name_H-M 'P 1'
_symmetry_Int_Tables_number 1
_cell_length_a 5.7553
_cell_length_b 5.7553
_cell_length_c 5.7553
_cell_angle_alpha 60.00
_cell_angle_beta 60.00
_cell_angle_gamma 60.00
loop_
_symmetry_equiv_pos_as_xyz
'x,y,z'
loop_
_atom_site_label
_atom_site_type_symbol
_atom_site_fract_x
_atom_site_fract_y
_atom_site_fract_z
La1 La 0.0000 0.0000 0.0000
Pr1 Pr 0.5000 0.5000 0.5000
Ho1 Ho 0.7500 0.7500 0.7500
Lu1 Lu 0.2500 0.2500 0.2500
# **Final energy**: -18.48 eV per formula unit
# **Formation energy from the elements**: 0.08 eV per atom
# **Symmetry**: F-43m (216)

---

# LaSmHoLu (PBE, optimized geometry)
data_LaSmHoLu
_chemical_formula_sum 'La1 Sm1 Ho1 Lu1'
_symmetry_space_group_name_H-M 'P 1'
_symmetry_Int_Tables_number 1
_cell_length_a 5.7262
_cell_length_b 5.7262
_cell_length_c 5.7262
_cell_angle_alpha 60.00
_cell_angle_beta 60.00
_cell_angle_gamma 60.00
loop_
_symmetry_equiv_pos_as_xyz
'x,y,z'
loop_
_atom_site_label
_atom_site_type_symbol
_atom_site_fract_x
_atom_site_fract_y
_atom_site_fract_z
La1 La 0.0000 0.0000 0.0000
Sm1 Sm 0.5000 0.5000 0.5000
Ho1 Ho 0.2500 0.2500 0.2500
Lu1 Lu 0.7500 0.7500 0.7500
# **Final energy**: -18.39 eV per formula unit
# **Formation energy from the elements**: 0.09 eV per atom
# **Symmetry**: F-43m (216)

---

# LaHoLuSn (PBE, optimized geometry)
data_LaHoLuSn
_chemical_formula_sum 'La1 Ho1 Lu1 Sn1'
_symmetry_space_group_name_H-M 'P 1'
_symmetry_Int_Tables_number 1
_cell_length_a 5.4833
_cell_length_b 5.4833
_cell_length_c 5.4833
_cell_angle_alpha 60.00
_cell_angle_beta 60.00
_cell_angle_gamma 60.00
loop_
_symmetry_equiv_pos_as_xyz
'x,y,z'
loop_
_atom_site_label
_atom_site_type_symbol
_atom_site_fract_x
_atom_site_fract_y
_atom_site_fract_z
La1 La 0.0000 0.0000 0.0000
Ho1 Ho 0.5000 0.5000 0.5000
Lu1 Lu 0.2500 0.2500 0.2500
Sn1 Sn 0.7500 0.7500 0.7500
# **Final energy**: -19.03 eV per formula unit
# **Formation energy from the elements**: -0.25 eV per atom
# **Symmetry**: F-43m (216)

---

# LaHoLuZn (PBE, optimized geometry)
data_LaHoLuZn
_chemical_formula_sum 'La1 Ho1 Lu1 Zn1'
_symmetry_space_group_name_H-M 'P 1'
_symmetry_Int_Tables_number 1
_cell_length_a 5.3906
_cell_length_b 5.3906
_cell_length_c 5.3906
_cell_angle_alpha 60.00
_cell_angle_beta 60.00
_cell_angle_gamma 60.00
loop_
_symmetry_equiv_pos_as_xyz
'x,y,z'
loop_
_atom_site_label
_atom_site_type_symbol
_atom_site_fract_x
_atom_site_fract_y
_atom_site_fract_z
La1 La 0.0000 0.0000 0.0000
Ho1 Ho 0.5000 0.5000 0.5000
Lu1 Lu 0.2500 0.2500 0.2500
Zn1 Zn 0.7500 0.7500 0.7500
# **Final energy**: -15.26 eV per formula unit
# **Formation energy from the elements**: 0.01 eV per atom
# **Symmetry**: F-43m (216)

---

# La2HoMg2 (PBE, optimized geometry)
data_La2HoMg2
_chemical_formula_sum 'La4 Ho2 Mg4'
_symmetry_space_group_name_H-M 'P 1'
_symmetry_Int_Tables_number 1
_cell_length_a 3.8330
_cell_length_b 5.5574
_cell_length_c 14.5907
_cell_angle_alpha 90.00
_cell_angle_beta 97.56
_cell_angle_gamma 90.00
loop_
_symmetry_equiv_pos_as_xyz
'x,y,z'
loop_
_atom_site_label
_atom_site_type_symbol
_atom_site_fract_x
_atom_site_fract_y
_atom_site_fract_z
La1 La 0.0427 0.2500 0.0854
La2 La 0.2355 0.2500 0.4725
La3 La 0.7645 0.7500 0.5275
La4 La 0.9573 0.7500 0.9146
Ho1 Ho 0.1520 0.7500 0.3015
Ho2 Ho 0.8480 0.2500 0.6985
Mg1 Mg 0.3610 0.7500 0.7223
Mg2 Mg 0.4407 0.2500 0.8829
Mg3 Mg 0.5593 0.7500 0.1171
Mg4 Mg 0.6390 0.2500 0.2777
# **Final energy**: -17.90 eV per formula unit
# **Formation energy from the elements**: -0.06 eV per atom
# **Symmetry**: P2_1/m (11)

---

# La3HoMg (PBE, optimized geometry)
data_La3HoMg
_chemical_formula_sum 'La6 Ho2 Mg2'
_symmetry_space_group_name_H-M 'P 1'
_symmetry_Int_Tables_number 1
_cell_length_a 3.5955
_cell_length_b 7.2003
_cell_length_c 13.3308
_cell_angle_alpha 90.00
_cell_angle_beta 97.62
_cell_angle_gamma 90.00
loop_
_symmetry_equiv_pos_as_xyz
'x,y,z'
loop_
_atom_site_label
_atom_site_type_symbol
_atom_site_fract_x
_atom_site_fract_y
_atom_site_fract_z
La1 La 0.1000 0.0127 0.1953
La2 La 0.1000 0.4873 0.1953
La3 La 0.2951 0.7500 0.5876
La4 La 0.7049 0.2500 0.4124
La5 La 0.9000 0.5127 0.8047
La6 La 0.9000 0.9873 0.8047
Ho1 Ho 0.4988 0.2500 0.9968
Ho2 Ho 0.5012 0.7500 0.0032
Mg1 Mg 0.3131 0.2500 0.6327
Mg2 Mg 0.6869 0.7500 0.3673
# **Polymorph energy (0 for the lowest one)**: 0.21 eV per formula unit
# **Final energy**: -20.75 eV per formula unit
# **Formation energy from the elements**: 0.04 eV per atom
# **Symmetry**: P2_1/m (11)

---

Among the records above, which one has the highest final energy?
LaHoLuZn